# 1
PBE KZnCl4, relaxed; space group = F-43m; density of states at the Fermi level = 0.41 states/eV/atom; crystal system = cubic; formation energy (no corrections) = -149.1 meV/atom; spin magnetization = 3.10 μB per cell
1.0
-3.200 -5.227 0.767
-4.114 -0.457 4.584
-6.042 -0.137 -1.276
K Zn Cl
1 1 4
Direct
0.750 0.750 0.750
0.000 0.000 0.000
0.875 0.375 0.375
0.375 0.375 0.875
0.375 0.875 0.375
0.375 0.375 0.375

=====

# 2
PBE TcHg4, relaxed; space group = I4/mmm; density of states at the Fermi level = 0.67 states/eV/atom; crystal system = tetragonal; spin magnetization = 0.00 μB per cell; energy above the lowest structure with this stoichiometry = 0.0 kJ/mol of atoms
1.0
-4.340 4.340 1.505
4.340 -4.340 1.505
4.340 4.340 -1.505
Tc Hg
1 4
Direct
0.000 0.000 0.000
0.500 0.224 0.725
0.500 0.776 0.275
0.224 0.500 0.724
0.776 0.500 0.276

=====

# 3
PBE AgSbW2, relaxed; space group = F-43m; density of states at the Fermi level = 0.38 states/eV/atom; crystal system = cubic; formation energy (no corrections) = 807.9 meV/atom; spin magnetization = 0.00 μB per cell
1.0
-0.146 -4.190 2.029
3.588 -2.934 -0.457
2.740 -0.915 3.654
Sb Ag W
1 1 2
Direct
0.250 0.250 0.250
0.500 0.500 0.500
0.000 0.000 0.000
0.750 0.750 0.750

=====

# 4
PBE Cd2IrAu, relaxed; space group = P4/mmm; density of states at the Fermi level = 0.49 states/eV/atom; crystal system = tetragonal; spin magnetization = 0.00 μB per cell; energy above the lowest structure with this stoichiometry = 1.1 kJ/mol of atoms
1.0
-0.011 1.394 -2.648
2.336 -1.651 -0.879
-5.064 -5.608 -2.930
Ir Au Cd
1 1 2
Direct
0.500 0.500 0.250
0.500 0.500 0.750
0.000 0.000 0.016
0.000 0.000 0.484

=====

- Which of these has the highest density of states at the Fermi level?
  TcHg4

=====

- Which formula does entry 2 have?
  TcHg4

=====

- Which formula does entry 4 have?
  Cd2IrAu